Entry a
CoNiAu | PBE | relaxed

abc: 5.709 5.709 5.709
angles: 90.00 90.00 90.00
Atoms (fractional coordinates):
Co  0.000  0.000  0.000
Co  0.000  0.500  0.500
Co  0.500  0.000  0.500
Co  0.500  0.500  0.000
Ni  0.250  0.250  0.250
Ni  0.250  0.750  0.750
Ni  0.750  0.250  0.750
Ni  0.750  0.750  0.250
Au  0.000  0.000  0.500
Au  0.000  0.500  0.000
Au  0.500  0.000  0.000
Au  0.500  0.500  0.500

SG: F-43m (216)

***

Entry b
CoNiAu | PBE | relaxed

abc: 2.736 4.081 7.239
angles: 90.00 90.03 90.00
Atoms (fractional coordinates):
Co  0.250  0.250  0.044
Co  0.750  0.750  0.956
Ni  0.251  0.750  0.234
Ni  0.749  0.250  0.766
Au  0.249  0.750  0.618
Au  0.751  0.250  0.382

SG: P2_1/m (11)

***

Entry c
CoNiAu | PBE | relaxed

abc: 2.726 3.516 8.434
angles: 90.00 90.00 90.00
Atoms (fractional coordinates):
Co  0.000  0.000  0.000
Co  0.500  0.500  0.500
Ni  0.000  0.000  0.367
Ni  0.500  0.500  0.867
Au  0.000  0.000  0.684
Au  0.500  0.500  0.184

SG: Imm2 (44)

***

Which one sits at the bottom of the stability order? entry a does.

***

Entry a
CoNi2Au | PBE | relaxed

abc: 3.692 3.692 7.478
angles: 90.00 90.00 90.00
Atoms (fractional coordinates):
Co  0.000  0.000  0.000
Co  0.500  0.500  0.500
Ni  0.000  0.000  0.500
Ni  0.000  0.500  0.750
Ni  0.500  0.000  0.250
Ni  0.500  0.500  0.000
Au  0.000  0.500  0.250
Au  0.500  0.000  0.750

SG: I-4m2 (119)

***

Entry b
CoNi2Au | PBE | relaxed

abc: 2.661 2.661 25.501
angles: 90.00 90.00 120.00
Atoms (fractional coordinates):
Co  0.000  0.000  0.000
Co  0.333  0.667  0.667
Co  0.667  0.333  0.333
Ni  0.000  0.000  0.485
Ni  0.000  0.000  0.741
Ni  0.333  0.667  0.151
Ni  0.333  0.667  0.408
Ni  0.667  0.333  0.074
Ni  0.667  0.333  0.818
Au  0.000  0.000  0.241
Au  0.333  0.667  0.908
Au  0.667  0.333  0.575

SG: R3m (160)

***

Entry c
CoNi2Au | PBE | relaxed

abc: 6.624 6.624 5.092
angles: 90.00 90.00 90.00
Atoms (fractional coordinates):
Co  0.000  0.000  0.000
Co  0.000  0.500  0.250
Co  0.500  0.000  0.750
Co  0.500  0.500  0.500
Ni  0.216  0.250  0.125
Ni  0.250  0.716  0.375
Ni  0.250  0.784  0.875
Ni  0.284  0.250  0.625
Ni  0.716  0.750  0.625
Ni  0.750  0.216  0.875
Ni  0.750  0.284  0.375
Ni  0.784  0.750  0.125
Au  0.000  0.000  0.500
Au  0.000  0.500  0.750
Au  0.500  0.000  0.250
Au  0.500  0.500  0.000

SG: I-42d (122)

***

Entry d
CoNi2Au | PBE | relaxed

abc: 3.734 3.734 3.665
angles: 90.00 90.00 90.00
Atoms (fractional coordinates):
Co  0.000  0.000  0.000
Ni  0.000  0.500  0.500
Ni  0.500  0.000  0.500
Au  0.500  0.500  0.000

SG: P4/mmm (123)

***

Which one sits at the bottom of the stability order? entry c does.

***

Entry a
CoNi2Au | PBE | relaxed

abc: 2.697 3.451 5.506
angles: 90.00 90.00 90.00
Atoms (fractional coordinates):
Co  0.000  0.000  0.000
Ni  0.500  0.500  0.218
Ni  0.500  0.500  0.782
Au  0.000  0.000  0.500

SG: Pmmm (47)

***

Entry b
CoNi2Au | PBE | relaxed

abc: 2.703 2.703 7.028
angles: 90.00 90.00 90.00
Atoms (fractional coordinates):
Co  0.000  0.000  0.000
Ni  0.000  0.000  0.439
Ni  0.500  0.500  0.214
Au  0.500  0.500  0.717

SG: P4mm (99)

***

Entry c
CoNi2Au | PBE | relaxed

abc: 8.569 2.664 4.583
angles: 90.00 100.49 90.00
Atoms (fractional coordinates):
Co  0.000  0.000  0.000
Co  0.500  0.500  0.000
Ni  0.012  0.500  0.554
Ni  0.258  0.000  0.787
Ni  0.512  0.000  0.554
Ni  0.758  0.500  0.787
Au  0.257  0.500  0.283
Au  0.757  0.000  0.283

SG: Cm (8)

***

Which one sits at the bottom of the stability order? entry c does.